First-principles (PBE) data for a geometry-optimized Th4TcPtSe2 structure, as listed in the Alexandria database.

Cell lengths 7.1766, 4.1505, 7.7331 Å; angles 90.00, 107.91, 90.00 degrees
Positions (direct):
Th1 0.2319 0.0000 0.2178
Th2 0.2490 0.5000 0.7826
Th3 0.7510 0.5000 0.2174
Th4 0.7681 0.0000 0.7822
Tc1 0.0000 0.5000 0.0000
Pt1 0.5000 0.0000 0.0000
Se1 0.0000 0.0000 0.5000
Se2 0.5000 0.5000 0.5000

D(E_F) = 5.05 states/eV/cell
Formation energy (no corrections) = -1106 meV per atom
M_tot = 0.000 μB/cell
Crystal system = monoclinic